The following is a DFT calculation (PBE) of an optimized crystal structure of Y2ZnHRh.

Results
**E above lowest polymorph**: 0.0 meV/atom
**SG**: P4/mmm, No. 123
**M_tot**: 0.000 μB/atom
**DFT total energy**: -5.553 eV per atom

```
5
Lattice="-2.944 1.472 -3.757 3.642 -1.032 -3.259 -1.246 -3.343 -0.333" Properties=species:S:1:pos:R:3 pbc="T T T"
Y 1.821 -0.516 -1.629
Y -1.472 0.736 -1.879
H 0.000 0.000 0.000
Zn -0.274 -1.452 -3.675
Rh -0.623 -1.672 -0.167
```